Record 1
The following is a GGA-PBEsol calculation of CuAgTe2 after structural relaxation, from Alexandria.

Spin magnetization, μB/f.u.: 0.00
N(E_F), states/eV/f.u.: 2.43
Electronic total energy, eV/atom: -3.4151
Formation energy from raw total energies, eV/atom: 0.26

Cell lengths 3.483, 3.483, 7.973 Å; angles 90.00, 90.00, 113.83 degrees
Element x y z (fractional)
Ag 0.500 0.500 0.500
Te 0.000 0.000 0.228
Te 0.000 0.000 0.772
Cu 0.500 0.500 0.000

Record 2
The following is a GGA-PBEsol calculation of CuAgTe after structural relaxation, from Alexandria.

Spin magnetization, μB/f.u.: 0.00
N(E_F), states/eV/f.u.: 0.71
Electronic total energy, eV/atom: -3.7324
Relative energy among the computed polymorphs, kJ per mole of atoms: 0.0
Formation energy from raw total energies, eV/atom: -0.01

Cell lengths 4.373, 4.373, 4.373 Å; angles 60.00, 60.00, 60.00 degrees
Element x y z (fractional)
Ag 0.500 0.500 0.500
Cu 0.250 0.250 0.250
Te 0.000 0.000 0.000

Record 3
The following is a GGA-PBEsol calculation of CuAgTe2 after structural relaxation, from Alexandria.

Spin magnetization, μB/f.u.: 0.00
N(E_F), states/eV/f.u.: 1.55
Electronic total energy, eV/atom: -3.6614
Formation energy from raw total energies, eV/atom: 0.01

Cell lengths 3.099, 4.182, 7.143 Å; angles 90.00, 90.00, 90.00 degrees
Element x y z (fractional)
Te 0.500 0.500 0.788
Te 0.000 0.000 0.203
Cu 0.500 0.000 0.563
Ag 0.000 0.500 0.445

Record 4
The following is a GGA-PBEsol calculation of CuAgTe after structural relaxation, from Alexandria.

Spin magnetization, μB/f.u.: 0.00
N(E_F), states/eV/f.u.: 1.01
Electronic total energy, eV/atom: -3.4288
Relative energy among the computed polymorphs, kJ per mole of atoms: 29.3
Formation energy from raw total energies, eV/atom: 0.30

Cell lengths 3.094, 3.094, 6.311 Å; angles 104.21, 104.21, 89.93 degrees
Element x y z (fractional)
Cu 0.657 0.657 0.314
Ag 0.027 0.027 0.054
Te 0.316 0.316 0.631

Record 5
The following is a GGA-PBEsol calculation of CuAgTe2 after structural relaxation, from Alexandria.

Spin magnetization, μB/f.u.: 0.00
N(E_F), states/eV/f.u.: 2.85
Electronic total energy, eV/atom: -3.6087
Formation energy from raw total energies, eV/atom: 0.07

Cell lengths 6.152, 6.152, 7.128 Å; angles 115.57, 115.57, 90.00 degrees
Element x y z (fractional)
Cu 0.750 0.250 0.500
Cu 0.500 0.500 0.000
Te 0.125 0.153 0.750
Te 0.625 0.597 0.750
Te 0.403 0.875 0.250
Te 0.847 0.375 0.250
Ag 0.250 0.750 0.500
Ag 0.000 0.000 0.000

Record 6
The following is a GGA-PBEsol calculation of CuAgTe2 after structural relaxation, from Alexandria.

Spin magnetization, μB/f.u.: 0.00
N(E_F), states/eV/f.u.: 2.33
Electronic total energy, eV/atom: -3.3159
Formation energy from raw total energies, eV/atom: 0.36

Cell lengths 4.776, 4.994, 4.776 Å; angles 61.44, 90.00, 118.56 degrees
Element x y z (fractional)
Ag 0.500 0.000 0.500
Cu 0.000 0.000 0.000
Te 0.250 0.500 0.250
Te 0.750 0.500 0.750